{"formula": "EuAl4Pb", "functional": "PBE-GGA", "state": "relaxed", "formation_energy_ev_per_atom": -0.105, "lattice": [[5.720, 0.000, 0.000], [2.860, 4.953, 0.000], [2.860, 1.651, 4.670]], "species": ["Al", "Al", "Al", "Pb", "Al", "Eu"], "frac_coords": [[0.625, 0.625, 0.126], [0.126, 0.625, 0.625], [0.625, 0.126, 0.625], [0.000, 0.000, 0.000], [0.625, 0.625, 0.625], [0.250, 0.250, 0.250]]}

{"formula": "Pr6Tl3Cd", "functional": "PBE-GGA", "state": "relaxed", "relative_energy_kj_per_mol_fu": 0.0, "formation_energy_ev_per_atom": -0.278, "lattice": [[5.518, 0.000, 0.000], [0.000, 9.231, -3.010], [0.000, 0.119, 12.161]], "species": ["Pr", "Pr", "Cd", "Tl", "Pr", "Tl", "Pr", "Tl", "Pr", "Pr", "Pr", "Cd", "Pr", "Tl", "Pr", "Pr", "Pr", "Tl", "Pr", "Tl"], "frac_coords": [[0.750, 0.750, 0.501], [0.250, 0.848, 0.307], [0.250, 0.959, 0.596], [0.750, 0.464, 0.617], [0.250, 0.090, 0.879], [0.250, 0.536, 0.383], [0.250, 0.465, 0.091], [0.750, 0.628, 0.217], [0.750, 0.910, 0.121], [0.250, 0.131, 0.153], [0.250, 0.662, 0.679], [0.750, 0.041, 0.404], [0.750, 0.338, 0.321], [0.250, 0.770, 0.974], [0.750, 0.152, 0.693], [0.250, 0.250, 0.499], [0.750, 0.869, 0.847], [0.750, 0.230, 0.026], [0.750, 0.535, 0.909], [0.250, 0.372, 0.783]]}

{"formula": "KTlS2", "functional": "PBE-GGA", "state": "relaxed", "relative_energy_kj_per_mol_fu": 12.6, "raw_formation_energy_kj_per_mol_fu": -231, "lattice": [[7.644, 0.000, -0.606], [2.987, 4.508, -3.691], [-2.987, 4.508, 3.691]], "species": ["Tl", "K", "S", "Tl", "S", "K", "S", "S"], "frac_coords": [[0.750, 0.281, 0.781], [0.750, 0.839, 0.339], [0.676, 0.377, 0.348], [0.250, 0.719, 0.219], [0.324, 0.623, 0.652], [0.250, 0.161, 0.661], [0.176, 0.152, 0.123], [0.824, 0.848, 0.877]]}

Number 1: DOS at the Fermi energy 1.78 states/eV/atom, calculated total energy -4.93 eV per atom. Number 2: DOS at the Fermi energy 1.11 states/eV/atom, calculated total energy -3.95 eV per atom. Number 3: DOS at the Fermi energy 0.00 states/eV/atom, calculated total energy -3.53 eV per atom.